Entry 1:
A relaxed CaPa4P5 crystal. Source: the Alexandria database, functional GGA-PBE.

Properties
Formation energy: -1.2843 eV/atom
SG: C2/m
Total moment: 0.000 μB/atom

a b c (Å): 6.9051 6.9051 9.8092
angles (deg): 118.26 118.26 33.55
Last column: nearest neighbours and their distance in Å.
Atoms (fractional coordinates):
Ca  0.0000  0.0000  0.0000  6 P 2.83-2.89
Pa  0.2008  0.2008  0.7948  6 P 2.79-2.82
Pa  0.4026  0.4026  0.6007  6 P 2.80-2.83
Pa  0.5974  0.5974  0.3993  6 P 2.80-2.83
Pa  0.7992  0.7992  0.2052  6 P 2.79-2.82
P  0.0000  0.0000  0.5000  6 Pa 2.80
P  0.1992  0.1992  0.3032  5 Pa 2.81-2.83, 1 Ca 2.83
P  0.3936  0.3936  0.1017  4 Pa 2.79-2.83, 2 Ca 2.89
P  0.6064  0.6064  0.8983  4 Pa 2.79-2.83, 2 Ca 2.89
P  0.8008  0.8008  0.6968  5 Pa 2.81-2.83, 1 Ca 2.83

---

Entry 2:
A relaxed CaPa5P6 crystal. Source: the Alexandria database, functional GGA-PBE.

Properties
Formation energy: -1.2879 eV/atom
SG: C2/m
Total moment: 0.000 μB/atom

a b c (Å): 6.9016 6.9016 6.8965
angles (deg): 99.61 99.61 120.02
Last column: nearest neighbours and their distance in Å.
Atoms (fractional coordinates):
Ca  0.0000  0.0000  0.0000  6 P 2.84-2.85
Pa  0.1637  0.8363  0.5000  6 P 2.80-2.82
Pa  0.3329  0.6671  0.0000  6 P 2.81
Pa  0.5000  0.5000  0.5000  6 P 2.79-2.82
Pa  0.6671  0.3329  0.0000  6 P 2.81
Pa  0.8363  0.1637  0.5000  6 P 2.80-2.82
P  0.0845  0.4216  0.2527  5 Pa 2.81-2.82, 1 Ca 2.85
P  0.2541  0.2541  0.7497  5 Pa 2.79-2.81, 1 Ca 2.84
P  0.4216  0.0845  0.2527  5 Pa 2.81-2.82, 1 Ca 2.85
P  0.5784  0.9155  0.7473  5 Pa 2.81-2.82, 1 Ca 2.85
P  0.7459  0.7459  0.2503  5 Pa 2.79-2.81, 1 Ca 2.84
P  0.9155  0.5784  0.7473  5 Pa 2.81-2.82, 1 Ca 2.85

---

Entry 3:
A relaxed CaPa3P4 crystal. Source: the Alexandria database, functional GGA-PBE.

Properties
Formation energy: -1.2667 eV/atom
SG: Cmmm
Total moment: 0.000 μB/atom

a b c (Å): 6.9205 6.9205 3.9933
angles (deg): 90.00 90.00 109.46
Last column: nearest neighbours and their distance in Å.
Atoms (fractional coordinates):
Ca  0.0000  0.0000  0.0000  6 P 2.84-2.87
Pa  0.0000  0.5000  0.5000  6 P 2.82-2.83
Pa  0.5000  0.0000  0.5000  6 P 2.82-2.83
Pa  0.5000  0.5000  0.0000  6 P 2.78-2.81
P  0.2517  0.7483  0.0000  5 Pa 2.81-2.82, 1 Ca 2.84
P  0.2571  0.2571  0.5000  4 Pa 2.78-2.83, 2 Ca 2.87
P  0.7429  0.7429  0.5000  4 Pa 2.78-2.83, 2 Ca 2.87
P  0.7483  0.2517  0.0000  5 Pa 2.81-2.82, 1 Ca 2.84

---

Entry 4:
A relaxed CaPaP2 crystal. Source: the Alexandria database, functional GGA-PBE.

Properties
Formation energy: -1.2271 eV/atom
SG: P6_3/mmc
Total moment: 0.000 μB/atom

a b c (Å): 4.0427 4.0427 13.2950
angles (deg): 90.00 90.00 120.00
Last column: nearest neighbours and their distance in Å.
Atoms (fractional coordinates):
Ca  0.3333  0.6667  0.2500  6 P 2.95
Ca  0.6667  0.3333  0.7500  6 P 2.95
Pa  0.0000  0.0000  0.0000  6 P 2.79
Pa  0.0000  0.0000  0.5000  6 P 2.79
P  0.3333  0.6667  0.6147  3 Pa 2.79, 3 Ca 2.95
P  0.3333  0.6667  0.8853  3 Pa 2.79, 3 Ca 2.95
P  0.6667  0.3333  0.1147  3 Pa 2.79, 3 Ca 2.95
P  0.6667  0.3333  0.3853  3 Pa 2.79, 3 Ca 2.95

---

Entry 5:
A relaxed CaPaP2 crystal. Source: the Alexandria database, functional GGA-PBE.

Properties
Formation energy: -1.2485 eV/atom
SG: R-3m
Total moment: 0.001 μB/atom

a b c (Å): 7.0054 7.0054 7.0054
angles (deg): 33.63 33.63 33.63
Last column: nearest neighbours and their distance in Å.
Atoms (fractional coordinates):
Ca  0.0000  0.0000  0.0000  6 P 2.94
Pa  0.5000  0.5000  0.5000  6 P 2.79
P  0.2436  0.2436  0.2436  3 Pa 2.79, 3 Ca 2.94
P  0.7564  0.7564  0.7564  3 Pa 2.79, 3 Ca 2.94

---

Entry 6:
A relaxed CaPaP2 crystal. Source: the Alexandria database, functional GGA-PBE.

Properties
Formation energy: -1.2357 eV/atom
SG: I4_1/amd
Total moment: 0.030 μB/atom

a b c (Å): 7.0227 7.0227 7.0227
angles (deg): 132.38 132.38 69.64
Last column: nearest neighbours and their distance in Å.
Atoms (fractional coordinates):
Ca  0.3750  0.6250  0.7500  6 P 2.84-2.99
Ca  0.6250  0.3750  0.2500  6 P 2.84-2.99
Pa  0.1250  0.8750  0.2500  6 P 2.78-2.84
Pa  0.8750  0.1250  0.7500  6 P 2.78-2.84
P  0.1157  0.3657  0.7500  3 Pa 2.78-2.84, 3 Ca 2.84-2.99
P  0.3657  0.1157  0.2500  3 Pa 2.78-2.84, 3 Ca 2.84-2.99
P  0.6343  0.8843  0.7500  3 Pa 2.78-2.84, 3 Ca 2.84-2.99
P  0.8843  0.6343  0.2500  3 Pa 2.78-2.84, 3 Ca 2.84-2.99

---

Entry 7:
A relaxed Ca3Pm2PaP6 crystal. Source: the Alexandria database, functional GGA-PBE.

Properties
Formation energy: -1.2758 eV/atom
SG: C2/m
Total moment: 0.000 μB/atom

a b c (Å): 7.1727 7.1727 7.0768
angles (deg): 99.76 99.76 120.05
Last column: nearest neighbours and their distance in Å.
Atoms (fractional coordinates):
Ca  0.0000  0.0000  0.0000  6 P 2.93-3.05
Ca  0.3296  0.6704  0.0000  6 P 2.93-3.01
Ca  0.6704  0.3296  0.0000  6 P 2.93-3.01
Pm  0.1666  0.8334  0.5000  6 P 2.90
Pm  0.8334  0.1666  0.5000  6 P 2.90
Pa  0.5000  0.5000  0.5000  6 P 2.78
P  0.1016  0.4215  0.2643  1 Pa 2.78, 2 Pm 2.90, 3 Ca 2.93-3.01
P  0.2596  0.2596  0.7360  1 Pa 2.78, 2 Pm 2.90, 3 Ca 2.96-3.05
P  0.4215  0.1016  0.2643  1 Pa 2.78, 2 Pm 2.90, 3 Ca 2.93-3.01
P  0.5785  0.8984  0.7357  1 Pa 2.78, 2 Pm 2.90, 3 Ca 2.93-3.01
P  0.7404  0.7404  0.2640  1 Pa 2.78, 2 Pm 2.90, 3 Ca 2.96-3.05
P  0.8984  0.5785  0.7357  1 Pa 2.78, 2 Pm 2.90, 3 Ca 2.93-3.01

---

Entry 8:
A relaxed Ca4PrPa3P8 crystal. Source: the Alexandria database, functional GGA-PBE.

Properties
Formation energy: -1.2798 eV/atom
SG: R-3m
Total moment: 0.000 μB/atom

a b c (Å): 8.1419 8.1419 8.1419
angles (deg): 60.44 60.44 60.44
Last column: nearest neighbours and their distance in Å.
Atoms (fractional coordinates):
Ca  0.0000  0.0000  0.0000  6 P 2.88
Ca  0.0000  0.5000  0.5000  6 P 2.97-3.00
Ca  0.5000  0.0000  0.5000  6 P 2.97-3.00
Ca  0.5000  0.5000  0.0000  6 P 2.97-3.00
Pr  0.5000  0.5000  0.5000  6 P 2.91
Pa  0.0000  0.0000  0.5000  6 P 2.78-2.81
Pa  0.0000  0.5000  0.0000  6 P 2.78-2.81
Pa  0.5000  0.0000  0.0000  6 P 2.78-2.81
P  0.2301  0.7512  0.7512  2 Pa 2.78, 3 Ca 2.88-3.00, 1 Pr 2.91
P  0.2432  0.2432  0.2432  3 Pa 2.81, 3 Ca 2.97
P  0.2488  0.2488  0.7699  2 Pa 2.78, 3 Ca 2.88-3.00, 1 Pr 2.91
P  0.2488  0.7699  0.2488  2 Pa 2.78, 3 Ca 2.88-3.00, 1 Pr 2.91
P  0.7512  0.2301  0.7512  2 Pa 2.78, 3 Ca 2.88-3.00, 1 Pr 2.91
P  0.7512  0.7512  0.2301  2 Pa 2.78, 3 Ca 2.88-3.00, 1 Pr 2.91
P  0.7568  0.7568  0.7568  3 Pa 2.81, 3 Ca 2.97
P  0.7699  0.2488  0.2488  2 Pa 2.78, 3 Ca 2.88-3.00, 1 Pr 2.91

---

Entry 9:
A relaxed Ca3Pr2PaP6 crystal. Source: the Alexandria database, functional GGA-PBE.

Properties
Formation energy: -1.2548 eV/atom
SG: C2/m
Total moment: 0.000 μB/atom

a b c (Å): 7.2357 7.2357 7.0960
angles (deg): 99.84 99.84 120.05
Last column: nearest neighbours and their distance in Å.
Atoms (fractional coordinates):
Ca  0.0000  0.0000  0.0000  6 P 2.93-3.09
Ca  0.3292  0.6708  0.0000  6 P 2.94-3.04
Ca  0.6708  0.3292  0.0000  6 P 2.94-3.04
Pr  0.1665  0.8335  0.5000  6 P 2.94
Pr  0.8335  0.1665  0.5000  6 P 2.94
Pa  0.5000  0.5000  0.5000  6 P 2.78
P  0.1042  0.4209  0.2623  1 Pa 2.78, 3 Ca 2.93-3.04, 2 Pr 2.94
P  0.2638  0.2638  0.7378  1 Pa 2.78, 2 Pr 2.94, 3 Ca 2.96-3.09
P  0.4209  0.1042  0.2623  1 Pa 2.78, 3 Ca 2.93-3.04, 2 Pr 2.94
P  0.5791  0.8958  0.7377  1 Pa 2.78, 3 Ca 2.93-3.04, 2 Pr 2.94
P  0.7362  0.7362  0.2622  1 Pa 2.78, 2 Pr 2.94, 3 Ca 2.96-3.09
P  0.8958  0.5791  0.7377  1 Pa 2.78, 3 Ca 2.93-3.04, 2 Pr 2.94

---

Entry 10:
A relaxed Ca3Pu2PaP6 crystal. Source: the Alexandria database, functional GGA-PBE.

Properties
Formation energy: -1.1751 eV/atom
SG: C2/m
Total moment: 0.750 μB/atom

a b c (Å): 7.0662 7.0662 7.0105
angles (deg): 99.67 99.67 120.00
Last column: nearest neighbours and their distance in Å.
Atoms (fractional coordinates):
Ca  0.0000  0.0000  0.0000  6 P 2.96-2.99
Ca  0.3327  0.6673  0.0000  6 P 2.96-2.98
Ca  0.6673  0.3327  0.0000  6 P 2.96-2.98
Pu  0.1666  0.8334  0.5000  6 P 2.80
Pu  0.8334  0.1666  0.5000  6 P 2.80
Pa  0.5000  0.5000  0.5000  6 P 2.77
P  0.0943  0.4244  0.2730  1 Pa 2.77, 2 Pu 2.80, 3 Ca 2.96-2.98
P  0.2456  0.2456  0.7265  1 Pa 2.77, 2 Pu 2.80, 3 Ca 2.96-2.99
P  0.4244  0.0943  0.2730  1 Pa 2.77, 2 Pu 2.80, 3 Ca 2.96-2.98
P  0.5756  0.9057  0.7270  1 Pa 2.77, 2 Pu 2.80, 3 Ca 2.96-2.98
P  0.7544  0.7544  0.2735  1 Pa 2.77, 2 Pu 2.80, 3 Ca 2.96-2.99
P  0.9057  0.5756  0.7270  1 Pa 2.77, 2 Pu 2.80, 3 Ca 2.96-2.98

---

Question: What is the formation energy in the seventh record?
Answer: -1.2758 eV/atom

---

Question: Look up the total moment of the fourth one.
Answer: 0.000 μB/atom

---

Question: What is the formula in the sixth record?
Answer: CaPaP2

---

Question: Which value of formation energy does entry 2 give?
Answer: -1.2879 eV/atom